# 1
Density functional theory data (GGA-PBE) for a relaxed LiGa2I3 crystal.

Unit cell a=4.615 b=9.379 c=19.865 alpha=90.00 beta=90.00 gamma=90.00
Element x y z (fractional)
I (0.750, 0.687, 0.230)
I (0.250, 0.813, 0.730)
I (0.250, 0.611, 0.927)
I (0.750, 0.513, 0.600)
I (0.250, 0.987, 0.100)
I (0.250, 0.313, 0.770)
I (0.750, 0.389, 0.073)
I (0.250, 0.487, 0.400)
I (0.750, 0.013, 0.900)
I (0.750, 0.187, 0.270)
I (0.750, 0.889, 0.427)
I (0.250, 0.111, 0.573)
Li (0.250, 0.370, 0.636)
Li (0.750, 0.630, 0.364)
Li (0.750, 0.130, 0.136)
Li (0.250, 0.870, 0.864)
Ga (0.250, 0.767, 0.518)
Ga (0.250, 0.931, 0.263)
Ga (0.250, 0.267, 0.982)
Ga (0.750, 0.233, 0.482)
Ga (0.250, 0.431, 0.237)
Ga (0.750, 0.733, 0.018)
Ga (0.750, 0.069, 0.737)
Ga (0.750, 0.569, 0.763)

Values from the calculation:
As for the total magnetic moment: 0.00 Bohr magnetons per cell. As for the final energy: -2.71 eV per atom. The value obtained for the uncorrected formation energy is -603 meV/atom. The calculation puts the density of states at the Fermi level at 0.0000 states/eV per atom.

# 2
Density functional theory data (GGA-PBE) for a relaxed LiMgGa2I5 crystal.

Unit cell a=4.353 b=10.080 c=15.091 alpha=90.00 beta=90.00 gamma=102.47
Element x y z (fractional)
Ga (0.109, 0.218, 0.279)
Ga (0.891, 0.782, 0.779)
Ga (0.899, 0.797, 0.147)
Ga (0.101, 0.203, 0.647)
I (0.296, 0.591, 0.402)
I (0.704, 0.409, 0.902)
I (0.732, 0.464, 0.167)
I (0.504, 0.008, 0.785)
I (0.932, 0.864, 0.562)
I (0.496, 0.992, 0.285)
I (0.368, 0.735, 0.003)
I (0.068, 0.136, 0.062)
I (0.632, 0.265, 0.503)
I (0.268, 0.536, 0.667)
Mg (0.221, 0.442, 0.032)
Mg (0.779, 0.558, 0.532)
Li (0.432, 0.865, 0.448)
Li (0.568, 0.135, 0.948)

Values from the calculation:
As for the total magnetic moment: 0.00 Bohr magnetons per cell. As for the final energy: -2.66 eV per atom. The value obtained for the uncorrected formation energy is -738 meV/atom. The calculation puts the density of states at the Fermi level at 0.0000 states/eV per atom.

# 3
Density functional theory data (GGA-PBE) for a relaxed NaLiGa2I4 crystal.

Unit cell a=4.558 b=7.992 c=7.912 alpha=70.87 beta=90.00 gamma=90.00
Element x y z (fractional)
I (0.500, 0.735, 0.245)
I (0.000, 0.271, 0.234)
I (0.000, 0.729, 0.766)
I (0.500, 0.265, 0.755)
Ga (0.000, 0.000, 0.000)
Ga (0.500, 0.000, 0.500)
Na (0.000, 0.500, 0.500)
Li (0.500, 0.500, 0.000)

Values from the calculation:
As for the total magnetic moment: 0.00 Bohr magnetons per cell. As for the final energy: -2.70 eV per atom. The value obtained for the uncorrected formation energy is -763 meV/atom. The calculation puts the density of states at the Fermi level at 0.0000 states/eV per atom.